No. 1
The following is a PBE calculation of crystalline InReI2Br at its relaxed geometry, from Alexandria via LeMat-Bulk.

DOS(E_F), states/eV/cell: 4.2
Space group: P4/mmm (123)
Uncorrected energy, eV/atom: -2.871

Cell: 5.816 5.816 5.701 Å, 90.00 90.00 90.00°
Atoms (fractional coordinates):
In  0.000  0.000  0.000
Re  0.000  0.000  0.500
I  0.000  0.500  0.000
I  0.500  0.000  0.000
Br  0.500  0.500  0.500


No. 2
The following is a PBE calculation of crystalline Ti3BrN at its relaxed geometry, from Alexandria via LeMat-Bulk.

DOS(E_F), states/eV/cell: 8.0
Space group: Pm-3m (221)
ΔE to the lowest computed polymorph, meV/atom: 0

Cell: 4.218 4.218 4.218 Å, 90.00 90.00 90.00°
Atoms (fractional coordinates):
Ti  0.000  0.000  0.500
Ti  0.000  0.500  0.000
Ti  0.500  0.000  0.000
Br  0.500  0.500  0.500
N  0.000  0.000  0.000


No. 3
The following is a PBE calculation of crystalline TiNbIrRh at its relaxed geometry, from Alexandria via LeMat-Bulk.

DOS(E_F), states/eV/cell: 4.2
Space group: I-4m2 (119)
ΔE to the lowest computed polymorph, meV/atom: 0
Formation enthalpy at 0 K, eV per atom: -0.61

Cell: 4.716 4.716 4.716 Å, 128.47 128.47 75.86°
Atoms (fractional coordinates):
Ti  0.000  0.000  0.000
Nb  0.500  0.500  0.000
Ir  0.250  0.750  0.500
Rh  0.750  0.250  0.500